# 1
Compound: LaSiHg2
Source: Alexandria
Functional: PBE
Structure: relaxed

The volume comes out at 215.1 Å³ per cell. The value obtained for the uncorrected formation energy is -80 meV/atom. The value obtained for the density of states at the Fermi level is 0.90 states/eV per atom. The value obtained for the total moment is 0.000 μB per atom.

The structure belongs to space group C2/m (No. 12); the cell edges are 6.2137, 11.5185 and 3.7388 Å and the angles 90.00°, 126.51° and 90.00°. The asymmetric unit holds La at (0.0000, 0.0000, 0.0000), Si at (0.0000, 0.5000, 0.0000) and Hg at (0.2500, 0.2500, 0.5000).

# 2
Compound: LiAgF4
Source: Alexandria
Functional: PBE
Structure: relaxed

The volume comes out at 309.8 Å³ per cell. The value obtained for the uncorrected formation energy is -1635 meV/atom. The value obtained for the density of states at the Fermi level is 0.54 states/eV per atom. The distance to the lowest polymorph of the same formula is 0.0622 eV per atom. The value obtained for the total moment is 0.000 μB per atom.

The structure belongs to space group P2_1/c (No. 14); the cell edges are 7.8922, 5.1623 and 7.8074 Å and the angles 90.00°, 103.08° and 90.00°. The asymmetric unit holds Li at (0.1403, 0.2471, 0.3410), Ag at (0.3101, 0.7473, 0.6817), F at (0.0801, 0.5636, 0.1987), F at (0.1859, 0.0865, 0.0831), F at (0.3021, 0.5801, 0.9309) and F at (0.4485, 0.0600, 0.8024).